(1)
The following is a PBE-GGA calculation of crystalline Pm2GeP3Rh4 at its relaxed geometry, from Alexandria via LeMat-Bulk.

```
Pm2GeP3Rh4
1.0
4.1436 0.0000 0.0000
0.0000 4.1436 0.0000
0.0000 0.0000 9.8575
Pm Ge P Rh
2 1 3 4
Direct
0.0000 0.5000 0.2478 Pm
0.5000 0.0000 0.7522 Pm
0.5000 0.5000 0.0000 Ge
0.0000 0.0000 0.0000 P
0.0000 0.5000 0.6351 P
0.5000 0.0000 0.3649 P
0.0000 0.0000 0.5000 Rh
0.0000 0.5000 0.8716 Rh
0.5000 0.0000 0.1284 Rh
0.5000 0.5000 0.5000 Rh
```

Output
Volume   16.92 A^3/atom


(2)
The following is a PBE-GGA calculation of crystalline Pm3GeP2Rh9 at its relaxed geometry, from Alexandria via LeMat-Bulk.

```
Pm3GeP2Rh9
1.0
6.1155 0.0000 0.0000
-3.0577 5.2962 0.0000
0.0000 0.0000 8.6973
Pm Ge P Rh
3 1 2 9
Direct
0.0000 0.0000 0.0000 Pm
0.3333 0.6667 0.6714 Pm
0.6667 0.3333 0.3286 Pm
0.0000 0.0000 0.5000 Ge
0.3333 0.6667 0.1660 P
0.6667 0.3333 0.8340 P
0.0000 0.5000 0.0000 Rh
0.1517 0.3035 0.2861 Rh
0.1517 0.8483 0.2861 Rh
0.3035 0.1517 0.7139 Rh
0.5000 0.0000 0.0000 Rh
0.5000 0.5000 0.0000 Rh
0.6965 0.8483 0.2861 Rh
0.8483 0.1517 0.7139 Rh
0.8483 0.6965 0.7139 Rh
```

Output
Volume   18.78 A^3/atom


no.,total moment (μB per formula unit),total DFT energy (no corrections) (eV/atom)
1,0.00,-7.01
2,0.00,-7.06